This record from the Alexandria database describes a geometry-optimized Tb2Ga6Co structure. The functional is GGA-PBE.

Structure (POSCAR):
```
Tb2Ga6Co
1.0
0.632 3.089 5.258
5.471 0.280 2.752
3.115 5.279 0.098
Ga Tb Co
6 2 1
Direct
0.277 0.723 0.277
0.277 0.277 0.723
0.723 0.723 0.277
0.723 0.277 0.723
0.277 0.723 0.723
0.723 0.277 0.277
0.250 0.250 0.250
0.750 0.750 0.750
0.000 0.000 0.000
```

Results
For the size of the total moment, the calculation gives 0.0000 μB per atom. Its formation energy is -557 meV/atom.



This record from the Alexandria database describes a geometry-optimized TbGaCo2 structure. The functional is GGA-PBE.

Structure (POSCAR):
```
TbGaCo2
1.0
3.162 0.000 0.000
0.000 3.162 0.000
0.000 0.000 6.127
Co Ga Tb
2 1 1
Direct
0.000 0.000 0.794
0.000 0.000 0.206
0.500 0.500 0.000
0.500 0.500 0.500
```

Results
For the size of the total moment, the calculation gives 0.0911 μB per atom. Its formation energy is -133 meV/atom.



This record from the Alexandria database describes a geometry-optimized Tb3Ga3Co2 structure. The functional is GGA-PBE.

Structure (POSCAR):
```
Tb3Ga3Co2
1.0
-5.226 1.833 1.463
-0.250 -5.065 5.453
6.031 9.745 9.329
Co Tb Ga
8 12 12
Direct
0.612 0.630 0.105
0.388 0.370 0.895
0.888 0.130 0.105
0.888 0.130 0.395
0.112 0.870 0.895
0.388 0.370 0.605
0.112 0.870 0.605
0.612 0.630 0.395
0.139 0.163 0.750
0.378 0.966 0.107
0.122 0.466 0.107
0.122 0.466 0.393
0.878 0.534 0.607
0.361 0.663 0.750
0.378 0.966 0.393
0.861 0.837 0.250
0.622 0.034 0.607
0.622 0.034 0.893
0.639 0.337 0.250
0.878 0.534 0.893
0.107 0.169 0.960
0.121 0.178 0.250
0.893 0.831 0.460
0.879 0.822 0.750
0.607 0.331 0.040
0.393 0.669 0.540
0.379 0.678 0.250
0.607 0.331 0.460
0.393 0.669 0.960
0.621 0.322 0.750
0.107 0.169 0.540
0.893 0.831 0.040
```

Results
For the size of the total moment, the calculation gives 0.0000 μB per atom. Its formation energy is -498 meV/atom.